Entry 1:
VASP calculation (PBE) on a geometry-optimized Tl3F structure.

Values from the calculation:
Polymorph energy (0 for the lowest one) ... 137 meV/atom
E_form (uncorrected) ... -2.4 eV/f.u.
Crystal system ... tetragonal

```
data_Tl3F
_chemical_formula_sum 'Tl6 F2'
_cell_length_a 4.440
_cell_length_b 4.440
_cell_length_c 10.987
_cell_angle_alpha 90.00
_cell_angle_beta 90.00
_cell_angle_gamma 90.00
_space_group_name_H-M_alt 'I 4/m m m'
_space_group_IT_number 139
_space_group_name_Hall '-I 4 2'
loop_
_atom_site_label
_atom_site_type_symbol
_atom_site_fract_x
_atom_site_fract_y
_atom_site_fract_z
Tl1 Tl 0.000 0.000 0.000
Tl2 Tl 0.000 0.500 0.250
F1 F 0.000 0.000 0.500
```

Entry 2:
VASP calculation (PBE) on a geometry-optimized DyThSbAs structure.

Values from the calculation:
E_form (uncorrected) ... -4.9 eV/f.u.
Crystal system ... trigonal

```
data_DyThSbAs
_chemical_formula_sum 'Dy3 Th3 Sb3 As3'
_cell_length_a 4.3075
_cell_length_b 4.3075
_cell_length_c 21.2137
_cell_angle_alpha 90.00
_cell_angle_beta 90.00
_cell_angle_gamma 120.00
_space_group_name_H-M_alt 'R 3 m'
_space_group_IT_number 160
_space_group_name_Hall 'R 3 -2"'
loop_
_atom_site_label
_atom_site_type_symbol
_atom_site_fract_x
_atom_site_fract_y
_atom_site_fract_z
Dy1 Dy 0.0000 0.0000 0.0000
Th1 Th 0.0000 0.0000 0.4870
Sb1 Sb 0.0000 0.0000 0.2463
As1 As 0.0000 0.0000 0.7407
```

Entry 3:
VASP calculation (PBE) on a geometry-optimized PrSi12Pt4 structure.

Values from the calculation:
E_form (uncorrected) ... -7.7 eV/f.u.
Crystal system ... cubic

```
data_PrSi12Pt4
_chemical_formula_sum 'Pr2 Si24 Pt8'
_cell_length_a 8.398
_cell_length_b 8.398
_cell_length_c 8.398
_cell_angle_alpha 90.00
_cell_angle_beta 90.00
_cell_angle_gamma 90.00
_space_group_name_H-M_alt 'I m -3'
_space_group_IT_number 204
_space_group_name_Hall '-I 2 2 3'
loop_
_atom_site_label
_atom_site_type_symbol
_atom_site_fract_x
_atom_site_fract_y
_atom_site_fract_z
Pr1 Pr 0.000 0.000 0.000
Si1 Si 0.000 0.149 0.359
Pt1 Pt 0.250 0.250 0.250
```

Entry 4:
VASP calculation (PBE) on a geometry-optimized La2ThUAs4 structure.

Values from the calculation:
Crystal system ... monoclinic
Energy of formation from the pure elements ... -1.31 eV per atom

```
data_La2ThUAs4
_chemical_formula_sum 'La2 Th1 U1 As4'
_cell_length_a 7.373
_cell_length_b 4.258
_cell_length_c 7.449
_cell_angle_alpha 90.00
_cell_angle_beta 109.26
_cell_angle_gamma 90.00
_space_group_name_H-M_alt 'P 1 2/m 1'
_space_group_IT_number 10
loop_
_space_group_symop_operation_xyz
'x,y,z'
'-x,-y,-z'
'-x,y,-z'
'x,-y,z'
loop_
_atom_site_label
_atom_site_type_symbol
_atom_site_fract_x
_atom_site_fract_y
_atom_site_fract_z
La1 La 0.000 0.000 0.000
La2 La 0.500 0.500 0.000
Th1 Th 0.000 0.500 0.500
U1 U 0.500 0.000 0.500
As1 As 0.252 0.000 0.738
As2 As 0.261 0.500 0.265
```

Entry 5:
VASP calculation (PBE) on a geometry-optimized CaYGaHg structure.

Values from the calculation:
Crystal system ... tetragonal
Energy of formation from the pure elements ... -0.54 eV per atom

```
data_CaYGaHg
_chemical_formula_sum 'Ca1 Y1 Ga1 Hg1'
_cell_length_a 3.618
_cell_length_b 3.618
_cell_length_c 7.668
_cell_angle_alpha 90.00
_cell_angle_beta 90.00
_cell_angle_gamma 90.00
_space_group_name_H-M_alt 'P 4 m m'
_space_group_IT_number 99
loop_
_space_group_symop_operation_xyz
'x,y,z'
'-y,x,z'
'-x,-y,z'
'y,-x,z'
'-x,y,z'
'y,x,z'
'x,-y,z'
'-y,-x,z'
loop_
_atom_site_label
_atom_site_type_symbol
_atom_site_fract_x
_atom_site_fract_y
_atom_site_fract_z
Ca1 Ca 0.000 0.000 0.000
Y1 Y 0.000 0.000 0.479
Ga1 Ga 0.500 0.500 0.250
Hg1 Hg 0.500 0.500 0.736
```

Entry 6:
VASP calculation (PBE) on a geometry-optimized SmAl4Au4 structure.

Values from the calculation:
Crystal system ... tetragonal
Energy of formation from the pure elements ... -0.53 eV per atom

```
data_SmAl4Au4
_chemical_formula_sum 'Sm2 Al8 Au8'
_cell_length_a 6.263
_cell_length_b 6.263
_cell_length_c 8.853
_cell_angle_alpha 90.00
_cell_angle_beta 90.00
_cell_angle_gamma 90.00
_space_group_name_H-M_alt 'P 42/n m c'
_space_group_IT_number 137
loop_
_space_group_symop_operation_xyz
'x,y,z'
'-x,-y,-z'
'-y+1/2,x,z+1/2'
'y+1/2,-x,-z+1/2'
'-x+1/2,-y+1/2,z'
'x+1/2,y+1/2,-z'
'y,-x+1/2,z+1/2'
'-y,x+1/2,-z+1/2'
'x+1/2,-y,-z'
'-x+1/2,y,z'
'-y,-x,-z+1/2'
'y,x,z+1/2'
'-x,y+1/2,-z'
'x,-y+1/2,z'
'y+1/2,x+1/2,-z+1/2'
'-y+1/2,-x+1/2,z+1/2'
loop_
_atom_site_label
_atom_site_type_symbol
_atom_site_fract_x
_atom_site_fract_y
_atom_site_fract_z
Sm1 Sm 0.250 0.750 0.250
Al1 Al 0.027 0.250 0.152
Au1 Au 0.024 0.250 0.445
```

Entry 7:
VASP calculation (PBE) on a geometry-optimized MgBe2Te structure.

Values from the calculation:
Polymorph energy (0 for the lowest one) ... 504 meV/atom
E_form (uncorrected) ... 2.8 eV/f.u.
Crystal system ... cubic

```
data_MgBe2Te
_chemical_formula_sum 'Mg4 Be8 Te4'
_cell_length_a 6.472
_cell_length_b 6.472
_cell_length_c 6.472
_cell_angle_alpha 90.00
_cell_angle_beta 90.00
_cell_angle_gamma 90.00
_space_group_name_H-M_alt 'F m -3 m'
_space_group_IT_number 225
_space_group_name_Hall '-F 4 2 3'
loop_
_atom_site_label
_atom_site_type_symbol
_atom_site_fract_x
_atom_site_fract_y
_atom_site_fract_z
Mg1 Mg 0.000 0.000 0.000
Be1 Be 0.250 0.250 0.250
Te1 Te 0.000 0.000 0.500
```

Entry 8:
VASP calculation (PBE) on a geometry-optimized Ba4Al3In structure.

Values from the calculation:
Crystal system ... orthorhombic
Energy of formation from the pure elements ... -0.18 eV per atom

```
data_Ba4Al3In
_chemical_formula_sum 'Ba4 Al3 In1'
_cell_length_a 4.753
_cell_length_b 5.306
_cell_length_c 12.405
_cell_angle_alpha 90.00
_cell_angle_beta 90.00
_cell_angle_gamma 90.00
_space_group_name_H-M_alt 'P m m 2'
_space_group_IT_number 25
loop_
_space_group_symop_operation_xyz
'x,y,z'
'-x,-y,z'
'-x,y,z'
'x,-y,z'
loop_
_atom_site_label
_atom_site_type_symbol
_atom_site_fract_x
_atom_site_fract_y
_atom_site_fract_z
Ba1 Ba 0.000 0.000 0.000
Ba2 Ba 0.000 0.500 0.491
Ba3 Ba 0.500 0.000 0.707
Ba4 Ba 0.500 0.500 0.209
Al1 Al 0.000 0.000 0.301
Al2 Al 0.500 0.000 0.401
Al3 Al 0.500 0.500 0.911
In1 In 0.000 0.500 0.794
```

Entry 9:
VASP calculation (PBE) on a geometry-optimized LaNd2DyAs4 structure.

Values from the calculation:
Crystal system ... orthorhombic
Energy of formation from the pure elements ... -1.52 eV per atom

```
data_LaNd2DyAs4
_chemical_formula_sum 'La4 Nd8 Dy4 As16'
_cell_length_a 8.524
_cell_length_b 8.529
_cell_length_c 12.051
_cell_angle_alpha 90.00
_cell_angle_beta 90.00
_cell_angle_gamma 90.00
_space_group_name_H-M_alt 'I m m a'
_space_group_IT_number 74
_space_group_name_Hall '-I 2b 2'
loop_
_atom_site_label
_atom_site_type_symbol
_atom_site_fract_x
_atom_site_fract_y
_atom_site_fract_z
La1 La 0.250 0.250 0.250
Nd1 Nd 0.000 0.000 0.000
Nd2 Nd 0.250 0.250 0.750
Dy1 Dy 0.000 0.000 0.500
As1 As 0.000 0.003 0.747
As2 As 0.244 0.250 0.501
```

Entry 10:
VASP calculation (PBE) on a geometry-optimized KHgBr2 structure.

Values from the calculation:
Polymorph energy (0 for the lowest one) ... 371 meV/atom
E_form (uncorrected) ... -2.4 eV/f.u.
Crystal system ... cubic

```
data_KHgBr2
_chemical_formula_sum 'K4 Hg4 Br8'
_cell_length_a 8.038
_cell_length_b 8.038
_cell_length_c 8.038
_cell_angle_alpha 90.00
_cell_angle_beta 90.00
_cell_angle_gamma 90.00
_space_group_name_H-M_alt 'F -4 3 m'
_space_group_IT_number 216
_space_group_name_Hall 'F -4 2 3'
loop_
_atom_site_label
_atom_site_type_symbol
_atom_site_fract_x
_atom_site_fract_y
_atom_site_fract_z
K1 K 0.000 0.000 0.000
Hg1 Hg 0.250 0.250 0.750
Br1 Br 0.000 0.000 0.500
Br2 Br 0.250 0.250 0.250
```

Entry 11:
VASP calculation (PBE) on a geometry-optimized La3ScTl3Te8 structure.

Values from the calculation:
E_form (uncorrected) ... -16.2 eV/f.u.
Crystal system ... trigonal

```
data_La3ScTl3Te8
_chemical_formula_sum 'La9 Sc3 Tl9 Te24'
_cell_length_a 9.1397
_cell_length_b 9.1397
_cell_length_c 24.1476
_cell_angle_alpha 90.00
_cell_angle_beta 90.00
_cell_angle_gamma 120.00
_space_group_name_H-M_alt 'R -3 m'
_space_group_IT_number 166
_space_group_name_Hall '-R 3 2"'
loop_
_atom_site_label
_atom_site_type_symbol
_atom_site_fract_x
_atom_site_fract_y
_atom_site_fract_z
La1 La 0.0000 0.5000 0.0000
Sc1 Sc 0.0000 0.0000 0.0000
Tl1 Tl 0.0000 0.5000 0.5000
Te1 Te 0.0000 0.0000 0.2576
Te2 Te 0.0241 0.5121 0.7374
```

Entry 12:
VASP calculation (PBE) on a geometry-optimized Mg2FeOs structure.

Values from the calculation:
Polymorph energy (0 for the lowest one) ... 0 meV/atom
Crystal system ... tetragonal
Energy of formation from the pure elements ... 0.11 eV per atom

```
data_Mg2FeOs
_chemical_formula_sum 'Mg2 Fe1 Os1'
_cell_length_a 2.837
_cell_length_b 2.837
_cell_length_c 7.918
_cell_angle_alpha 90.00
_cell_angle_beta 90.00
_cell_angle_gamma 90.00
_space_group_name_H-M_alt 'P 4 m m'
_space_group_IT_number 99
loop_
_space_group_symop_operation_xyz
'x,y,z'
'-y,x,z'
'-x,-y,z'
'y,-x,z'
'-x,y,z'
'y,x,z'
'x,-y,z'
'-y,-x,z'
loop_
_atom_site_label
_atom_site_type_symbol
_atom_site_fract_x
_atom_site_fract_y
_atom_site_fract_z
Mg1 Mg 0.000 0.000 0.000
Mg2 Mg 0.500 0.500 0.336
Fe1 Fe 0.500 0.500 0.767
Os1 Os 0.000 0.000 0.587
```